Below is a relaxed FeSeBr2 crystal, with properties calculated at the PBE level.

Values from the calculation:
- E above lowest polymorph: 0.345 eV/atom
- Space group: P4mm (99)
- DOS at the Fermi energy: 4.1 states/eV/cell
- Formation energy without anion corrections: 0.15 eV/atom
- Total magnetization: 0.768 μB per atom

The structure in extended XYZ format:
```
4
Lattice="3.0662 0.0000 0.0000 0.0000 3.0662 0.0000 0.0000 0.0000 10.7877" Properties=species:S:1:pos:R:3 pbc="T T T"
Br 0.0000 0.0000 10.7242
Fe 0.0000 0.0000 5.5113
Se 1.5331 1.5331 6.9846
Br 1.5331 1.5331 3.7491
```

=====

Below is a relaxed SrTi2Rh2 crystal, with properties calculated at the PBE level.

Values from the calculation:
- E above lowest polymorph: 0.069 eV/atom
- Space group: I4/mmm (139)
- DOS at the Fermi energy: 3.0 states/eV/cell
- Total magnetization: 0.415 μB per atom

The structure in extended XYZ format:
```
5
Lattice="4.5156 0.0000 0.0000 0.0000 4.5156 0.0000 2.2578 2.2578 5.1653" Properties=species:S:1:pos:R:3 pbc="T T T"
Rh 2.2578 4.5156 2.5826
Rh 4.5156 2.2578 2.5826
Ti 2.2578 2.2578 1.4642
Ti 4.5156 4.5156 3.7011
Sr 0.0000 0.0000 0.0000
```

=====

Below is a relaxed K2MnBeRe crystal, with properties calculated at the PBE level.

Values from the calculation:
- Space group: P4/mmm (123)
- DOS at the Fermi energy: 5.3 states/eV/cell
- Raw total energy: -17.40 eV for the cell shown
- Total magnetization: 1.575 μB per atom

The structure in extended XYZ format:
```
5
Lattice="6.3307 0.0000 0.0000 0.0000 4.2790 0.0000 0.0000 0.0000 6.3307" Properties=species:S:1:pos:R:3 pbc="T T T"
K 3.1654 0.0000 0.0000
Be 0.0000 2.1395 0.0000
Mn 0.0000 0.0000 0.0000
Re 3.1654 2.1395 3.1654
K 0.0000 0.0000 3.1654
```